Material: PmTlIn2
Method: DFT, GGA-PBE
State: optimized geometry

Calculated values
formation energy from the elements: -0.22 eV per atom
energy above the most stable polymorph in this dataset: 0.752 eV/f.u.
mass density: 8.585 g/cm³
E_tot: -3.364 eV/atom

Cell: 3.9061 3.9061 7.3404 Å, 90.00 90.00 90.00°
Sites, in units of the cell vectors:
Pm (0.0000, 0.0000, 0.0000)
Tl (0.0000, 0.0000, 0.5000)
In (0.5000, 0.5000, 0.2616)
In (0.5000, 0.5000, 0.7384)

---

Material: Rb2Cd3GaBi4
Method: DFT, GGA-PBE
State: optimized geometry

Calculated values
formation energy from the elements: -0.20 eV per atom
mass density: 6.866 g/cm³
E_tot: -2.520 eV/atom

Cell: 5.3449 5.3449 11.9684 Å, 90.00 90.00 90.00°
Sites, in units of the cell vectors:
Rb (0.0000, 0.5000, 0.2449)
Rb (0.5000, 0.0000, 0.7551)
Cd (0.0000, 0.0000, 0.0000)
Cd (0.0000, 0.5000, 0.6314)
Cd (0.5000, 0.0000, 0.3686)
Ga (0.5000, 0.5000, 0.0000)
Bi (0.0000, 0.0000, 0.5000)
Bi (0.0000, 0.5000, 0.8798)
Bi (0.5000, 0.0000, 0.1202)
Bi (0.5000, 0.5000, 0.5000)